No. 1
A relaxed structure of CuReN2, computed with PBEsol.

Properties
**E_form (uncorrected)**: 2.465 kcal/mol of atoms

Lattice parameters (Å, degrees): 2.8253 2.8253 6.4102 77.27 77.27 60.00
With the nearest neighbours (Å) after each atom.
Fractional positions:
Re 0.5000 0.5000 0.5000  6 N 2.06
Cu 0.0000 0.0000 0.0000  2 N 1.84
N 0.9012 0.9012 0.2965  1 Cu 1.84
N 0.0988 0.0988 0.7035  1 Cu 1.84

=====

No. 2
A relaxed structure of CuRuW2N, computed with PBEsol.

Properties
**E_form (uncorrected)**: 65.875 kcal/mol of atoms

Lattice parameters (Å, degrees): 4.4483 4.5722 4.5722 90.00 90.00 90.00
With the nearest neighbours (Å) after each atom.
Fractional positions:
Ru 0.0000 0.0000 0.0000  2 Cu 2.22, 4 W 2.29
Cu 0.5000 0.0000 0.0000  2 Ru 2.22
W 0.0000 0.0000 0.5000  2 Ru 2.29
W 0.0000 0.5000 0.0000  2 Ru 2.29
N 0.5000 0.5000 0.5000  8 W 3.19, 4 Cu 3.23

=====

No. 3
A relaxed structure of CuS2N2, computed with PBEsol.

Properties
**E_form (uncorrected)**: 26.678 kcal/mol of atoms

Lattice parameters (Å, degrees): 3.2818 3.2818 5.8748 90.00 90.00 90.00
With the nearest neighbours (Å) after each atom.
Fractional positions:
S 0.0000 0.0000 0.0000  4 N 1.64
S 0.0000 0.0000 0.5000  4 Cu 2.32
Cu 0.5000 0.5000 0.5000  4 S 2.32
N 0.0000 0.5000 0.0000  2 S 1.64
N 0.5000 0.0000 0.0000  2 S 1.64

=====

No. 4
A relaxed structure of CuTcSN2, computed with PBEsol.

Properties
**E_form (uncorrected)**: 37.091 kcal/mol of atoms

Lattice parameters (Å, degrees): 3.6626 3.6626 4.4988 90.00 90.00 90.00
With the nearest neighbours (Å) after each atom.
Fractional positions:
S 0.0000 0.0000 0.5000  2 Cu 2.25
Tc 0.5000 0.5000 0.5000  4 S 2.59, 8 N 2.90
Cu 0.0000 0.0000 0.0000  4 N 1.83
N 0.0000 0.5000 0.0000  2 Cu 1.83
N 0.5000 0.0000 0.0000  2 Cu 1.83

=====

No. 5
A relaxed structure of YCuSN2, computed with PBEsol.

Properties
**E_form (uncorrected)**: 23.960 kcal/mol of atoms

Lattice parameters (Å, degrees): 4.3648 4.3648 5.3192 90.00 90.00 90.00
With the nearest neighbours (Å) after each atom.
Fractional positions:
Y 0.0000 0.0000 0.0000  4 N 2.18
S 0.0000 0.0000 0.5000  2 Y 2.66
Cu 0.5000 0.5000 0.5000  4 S 3.09, 8 N 3.44
N 0.0000 0.5000 0.0000  2 Y 2.18
N 0.5000 0.0000 0.0000  2 Y 2.18

=====

No. 6
A relaxed structure of Y2CuSN, computed with PBEsol.

Properties
**E_form (uncorrected)**: -9.826 kcal/mol of atoms

Lattice parameters (Å, degrees): 3.4554 5.1192 5.1192 90.00 90.00 90.00
With the nearest neighbours (Å) after each atom.
Fractional positions:
Y 0.0000 0.0000 0.5000  2 Cu 2.56
Y 0.0000 0.5000 0.0000  2 Cu 2.56
S 0.5000 0.5000 0.5000  8 Y 3.09, 2 S 3.46
Cu 0.0000 0.0000 0.0000  2 N 1.73
N 0.5000 0.0000 0.0000  2 Cu 1.73

=====

No. 7
A relaxed structure of CuSbSe2N, computed with PBEsol.

Properties
**E_form (uncorrected)**: 24.984 kcal/mol of atoms

Lattice parameters (Å, degrees): 3.8727 5.2653 5.2653 90.00 90.00 90.00
With the nearest neighbours (Å) after each atom.
Fractional positions:
Sb 0.0000 0.0000 0.0000  2 N 1.94
Cu 0.5000 0.5000 0.5000  8 Se 3.27
Se 0.0000 0.0000 0.5000  2 Sb 2.63
Se 0.0000 0.5000 0.0000  2 Sb 2.63
N 0.5000 0.0000 0.0000  2 Sb 1.94

=====

No. 8
A relaxed structure of ScCuN2, computed with PBEsol.

Properties
**E_form (uncorrected)**: 14.407 kcal/mol of atoms

Lattice parameters (Å, degrees): 3.0957 3.0957 6.1350 75.39 75.39 60.00
With the nearest neighbours (Å) after each atom.
Fractional positions:
Sc 0.0000 0.0000 0.0000  2 N 2.05
Cu 0.5000 0.5000 0.5000  6 N 1.99-2.00
N 0.8837 0.8837 0.3490  3 Cu 1.99-2.00, 1 Sc 2.05
N 0.1163 0.1163 0.6510  3 Cu 1.99-2.00, 1 Sc 2.05

=====

No. 9
A relaxed structure of Sc3CuN, computed with PBEsol.

Properties
**E_form (uncorrected)**: -20.330 kcal/mol of atoms

Lattice parameters (Å, degrees): 4.3289 4.3289 4.3289 90.00 90.00 90.00
With the nearest neighbours (Å) after each atom.
Fractional positions:
Sc 0.0000 0.5000 0.0000  2 N 2.16
Sc 0.0000 0.0000 0.5000  2 N 2.16
Sc 0.5000 0.0000 0.0000  2 N 2.16
Cu 0.5000 0.5000 0.5000  12 Sc 3.06
N 0.0000 0.0000 0.0000  6 Sc 2.16

=====

No. 10
A relaxed structure of ScCuN3, computed with PBEsol.

Properties
**E_form (uncorrected)**: 14.919 kcal/mol of atoms

Lattice parameters (Å, degrees): 3.6922 3.6922 3.6922 90.00 90.00 90.00
With the nearest neighbours (Å) after each atom.
Fractional positions:
Sc 0.5000 0.5000 0.5000  12 N 2.61
Cu 0.0000 0.0000 0.0000  6 N 1.85
N 0.0000 0.5000 0.0000  2 Cu 1.85
N 0.0000 0.0000 0.5000  2 Cu 1.85
N 0.5000 0.0000 0.0000  2 Cu 1.85

=====

No. 11
A relaxed structure of ScCuTeN2, computed with PBEsol.

Properties
**E_form (uncorrected)**: 22.640 kcal/mol of atoms

Lattice parameters (Å, degrees): 4.1265 4.1265 4.6108 90.00 90.00 90.00
With the nearest neighbours (Å) after each atom.
Fractional positions:
Sc 0.5000 0.5000 0.5000  4 Cu 2.92, 8 N 3.09
Te 0.0000 0.0000 0.0000  4 N 2.06, 2 Cu 2.31
Cu 0.0000 0.0000 0.5000  2 Te 2.31
N 0.0000 0.5000 0.0000  2 Te 2.06
N 0.5000 0.0000 0.0000  2 Te 2.06

=====

No. 12
A relaxed structure of ScCuTe2N, computed with PBEsol.

Properties
**E_form (uncorrected)**: 5.386 kcal/mol of atoms

Lattice parameters (Å, degrees): 3.6158 5.2298 5.2298 90.00 90.00 90.00
With the nearest neighbours (Å) after each atom.
Fractional positions:
Sc 0.5000 0.5000 0.5000  8 Te 3.18
Te 0.0000 0.0000 0.5000  2 Cu 2.61
Te 0.0000 0.5000 0.0000  2 Cu 2.61
Cu 0.0000 0.0000 0.0000  2 N 1.81
N 0.5000 0.0000 0.0000  2 Cu 1.81

=====

No. 13
A relaxed structure of SrCuSe2N, computed with PBEsol.

Properties
**E_form (uncorrected)**: 28.036 kcal/mol of atoms

Lattice parameters (Å, degrees): 4.6945 5.6808 5.6808 90.00 90.00 90.00
With the nearest neighbours (Å) after each atom.
Fractional positions:
Sr 0.0000 0.0000 0.0000  2 N 2.35
Cu 0.5000 0.5000 0.5000  8 Se 3.68, 4 N 4.02
Se 0.0000 0.0000 0.5000  2 Sr 2.84
Se 0.0000 0.5000 0.0000  2 Sr 2.84
N 0.5000 0.0000 0.0000  2 Sr 2.35

=====

No. 14
A relaxed structure of CuTeSeN2, computed with PBEsol.

Properties
**E_form (uncorrected)**: 32.963 kcal/mol of atoms

Lattice parameters (Å, degrees): 3.9431 3.9431 4.7638 90.00 90.00 90.00
With the nearest neighbours (Å) after each atom.
Fractional positions:
Te 0.5000 0.5000 0.5000  4 Se 2.79, 8 N 3.09
Cu 0.0000 0.0000 0.0000  4 N 1.97
Se 0.0000 0.0000 0.5000  2 Cu 2.38
N 0.0000 0.5000 0.0000  2 Cu 1.97
N 0.5000 0.0000 0.0000  2 Cu 1.97

=====

No. 15
A relaxed structure of ZnCuSeN2, computed with PBEsol.

Properties
**E_form (uncorrected)**: 29.410 kcal/mol of atoms

Lattice parameters (Å, degrees): 3.6735 3.6735 5.3592 90.00 90.00 90.00
With the nearest neighbours (Å) after each atom.
Fractional positions:
Zn 0.5000 0.5000 0.5000  4 Se 2.60
Cu 0.0000 0.0000 0.0000  4 N 1.84
Se 0.0000 0.0000 0.5000  4 Zn 2.60, 2 Cu 2.68
N 0.0000 0.5000 0.0000  2 Cu 1.84
N 0.5000 0.0000 0.0000  2 Cu 1.84

=====

Number 1: spin magnetization 0.000 μB/cell. Number 2: spin magnetization 0.179 μB/cell. Number 3: spin magnetization 0.001 μB/cell. Number 4: spin magnetization 0.943 μB/cell. Number 5: spin magnetization 3.997 μB/cell. Number 6: spin magnetization 0.000 μB/cell. Number 7: spin magnetization 0.830 μB/cell. Number 8: spin magnetization 0.002 μB/cell. Number 9: spin magnetization 1.051 μB/cell. Number 10: spin magnetization 0.000 μB/cell. Number 11: spin magnetization 0.000 μB/cell. Number 12: spin magnetization 0.989 μB/cell. Number 13: spin magnetization 3.496 μB/cell. Number 14: spin magnetization 1.957 μB/cell. Number 15: spin magnetization 2.798 μB/cell.